# YCdRe2, relaxed, DFT GGA-PBE
data_YCdRe2
_chemical_formula_sum 'Y1 Cd1 Re2'
_symmetry_space_group_name_H-M 'P 4/m m m'
_symmetry_Int_Tables_number 123
_symmetry_space_group_name_Hall '-P 4 2'
_cell_length_a 2.805
_cell_length_b 2.805
_cell_length_c 9.465
_cell_angle_alpha 90.00
_cell_angle_beta 90.00
_cell_angle_gamma 90.00
loop_
_atom_site_label
_atom_site_fract_x
_atom_site_fract_y
_atom_site_fract_z
Y1 0.000 0.000 0.000
Cd1 0.000 0.000 0.500
Re1 0.500 0.500 0.259
# Energy, eV/atom: -7.34
# Total magnetic moment, Bohr magnetons per cell: 0.0

***

# YCdRe2, relaxed, DFT GGA-PBE
data_YCdRe2
_chemical_formula_sum 'Y2 Cd2 Re4'
_symmetry_space_group_name_H-M 'C 1 2/m 1'
_symmetry_Int_Tables_number 12
_symmetry_space_group_name_Hall '-C 2y'
_cell_length_a 9.979
_cell_length_b 3.823
_cell_length_c 4.912
_cell_angle_alpha 90.00
_cell_angle_beta 112.68
_cell_angle_gamma 90.00
loop_
_atom_site_label
_atom_site_fract_x
_atom_site_fract_y
_atom_site_fract_z
Y1 0.000 0.000 0.000
Cd1 0.000 0.500 0.500
Re1 0.241 0.000 0.641
# Energy, eV/atom: -7.65
# Total magnetic moment, Bohr magnetons per cell: 0.0

***

# ZnCdRe4, relaxed, DFT GGA-PBE
data_ZnCdRe4
_chemical_formula_sum 'Zn4 Cd4 Re16'
_symmetry_space_group_name_H-M 'F -4 3 m'
_symmetry_Int_Tables_number 216
_symmetry_space_group_name_Hall 'F -4 2 3'
_cell_length_a 7.420
_cell_length_b 7.420
_cell_length_c 7.420
_cell_angle_alpha 90.00
_cell_angle_beta 90.00
_cell_angle_gamma 90.00
loop_
_atom_site_label
_atom_site_fract_x
_atom_site_fract_y
_atom_site_fract_z
Zn1 0.000 0.000 0.000
Cd1 0.250 0.250 0.750
Re1 0.125 0.125 0.375
# Energy, eV/atom: -8.05
# Total magnetic moment, Bohr magnetons per cell: 0.0

***

# ZnCd2Re, relaxed, DFT GGA-PBE
data_ZnCd2Re
_chemical_formula_sum 'Zn2 Cd4 Re2'
_symmetry_space_group_name_H-M 'I 4/m m m'
_symmetry_Int_Tables_number 139
_symmetry_space_group_name_Hall '-I 4 2'
_cell_length_a 3.904
_cell_length_b 3.904
_cell_length_c 9.181
_cell_angle_alpha 90.00
_cell_angle_beta 90.00
_cell_angle_gamma 90.00
loop_
_atom_site_label
_atom_site_fract_x
_atom_site_fract_y
_atom_site_fract_z
Zn1 0.000 0.000 0.000
Cd1 0.000 0.500 0.250
Re1 0.000 0.000 0.500
# Energy, eV/atom: -3.31
# Total magnetic moment, Bohr magnetons per cell: 1.4

***

Respective ρ values: 12.8 11.0 15.0 11.3 Mg/m³.